This record from the Alexandria database describes a relaxed structure of TiCrPb2O6. The functional is GGA+U.

Cell lengths 5.577, 5.590, 7.892 Å; angles 90.00, 90.00, 90.00 degrees
Element x y z (fractional)
1 Ti 0.500 0.000 0.500
2 Ti 0.000 0.500 0.000
3 Cr 0.500 0.000 0.000
4 Cr 0.000 0.500 0.500
5 Pb 0.004 0.024 0.250
6 Pb 0.504 0.476 0.750
7 Pb 0.996 0.976 0.750
8 Pb 0.496 0.524 0.250
9 O 0.219 0.778 0.032
10 O 0.719 0.722 0.532
11 O 0.781 0.222 0.968
12 O 0.281 0.278 0.468
13 O 0.222 0.780 0.469
14 O 0.722 0.720 0.969
15 O 0.778 0.220 0.531
16 O 0.278 0.280 0.031
17 O 0.940 0.490 0.248
18 O 0.440 0.010 0.748
19 O 0.060 0.510 0.752
20 O 0.560 0.990 0.252

Results
The uncorrected energy comes out at -7.076 eV per atom. The value obtained for the density of states at the Fermi level is 6.578 states/eV/cell.